The following is a PBE calculation of a geometry-optimized ScPdCl6 structure, from Alexandria.

Calculated values
Size of the total moment in μB per cell: 1.01
E_form (uncorrected) in eV/atom: -1.120

Unit cell a=6.233 b=6.407 c=6.597 alpha=63.21 beta=62.06 gamma=58.22
Element x y z (fractional)
1 Cl 0.898 0.589 0.259
2 Cl 0.401 0.766 0.750
3 Cl 0.102 0.411 0.741
4 Cl 0.241 0.912 0.241
5 Cl 0.759 0.088 0.759
6 Cl 0.599 0.234 0.250
7 Pd 0.000 0.000 0.000
8 Sc 0.500 0.500 0.500

***

The following is a PBE calculation of a geometry-optimized PmAlGe3 structure, from Alexandria.

Calculated values
Size of the total moment in μB per cell: 0.00
Energy relative to the elements in eV per atom: -0.186

Unit cell a=4.313 b=5.931 c=8.568 alpha=90.00 beta=90.00 gamma=90.00
Element x y z (fractional)
1 Ge 0.250 0.519 0.311
2 Ge 0.750 0.019 0.689
3 Ge 0.750 0.481 0.689
4 Ge 0.250 0.981 0.311
5 Ge 0.250 0.250 0.877
6 Ge 0.750 0.750 0.123
7 Pm 0.250 0.750 0.879
8 Pm 0.750 0.250 0.121
9 Al 0.750 0.750 0.435
10 Al 0.250 0.250 0.565

***

Computed E, in the same sequence as the records: -3.95; -4.65 eV/atom.